# Dy2Er3Lu2Te2Ir2

An optimized crystal structure of Dy2Er3Lu2Te2Ir2 (GGA-PBE, the Open Quantum Materials Database).

a b c (Å): 9.3094 9.3094 9.3094
angles (deg): 155.76 66.28 119.37
Last column: nearest neighbours and their distance in Å.
Atoms (fractional coordinates):
Dy1 0.1842 0.0000 0.1842  3 Ir 2.85-3.05, 1 Te 3.15
Dy2 0.8158 0.0000 0.8158  3 Ir 2.85-3.05, 1 Te 3.15
Er1 0.1292 0.6292 0.5000  3 Te 3.18-3.19
Er2 0.2145 0.3606 0.8539  2 Ir 2.86, 2 Te 3.17
Er3 0.5067 0.3606 0.1461  2 Ir 2.86, 2 Te 3.17
Lu1 0.5785 0.2111 0.3674  2 Ir 2.80, 1 Te 3.08
Lu2 0.8437 0.2111 0.6326  2 Ir 2.80, 1 Te 3.08
Te1 0.4681 0.9681 0.5000  2 Lu 3.08, 5 Er 3.17-3.19
Te2 0.8622 0.8622 0.0000  2 Dy 3.15, 4 Lu 3.18, 2 Er 3.18
Ir1 0.4401 0.7007 0.7394  2 Lu 2.80, 3 Dy 2.85-3.05, 2 Er 2.86
Ir2 0.9614 0.7007 0.2606  2 Lu 2.80, 3 Dy 2.85-3.05, 2 Er 2.86

Output
The energy is -6.0019 eV per atom. The value obtained for the volume is 26.04 Å³ per atom.

=====

# AlZnRe

An optimized crystal structure of AlZnRe (GGA-PBE, the Open Quantum Materials Database).

a b c (Å): 4.2392 4.2392 4.2392
angles (deg): 60.00 60.00 60.00
Last column: nearest neighbours and their distance in Å.
Atoms (fractional coordinates):
Al1 0.0000 0.0000 0.0000  4 Re 2.60
Zn1 0.5000 0.5000 0.5000  4 Re 2.60
Re1 0.2500 0.2500 0.2500  4 Al 2.60, 4 Zn 2.60

Output
The energy is -5.1532 eV per atom. The value obtained for the volume is 17.96 Å³ per atom.

=====

# CuSi5Pt3

An optimized crystal structure of CuSi5Pt3 (GGA-PBE, the Open Quantum Materials Database).

a b c (Å): 5.7382 5.7382 5.8013
angles (deg): 90.00 90.00 120.00
Last column: nearest neighbours and their distance in Å.
Atoms (fractional coordinates):
Cu1 0.0000 0.0000 0.0000  2 Si 2.90
Si1 0.0000 0.0000 0.5000  6 Pt 2.87, 2 Cu 2.90
Si2 0.3333 0.6667 0.1958  1 Si 2.27, 3 Pt 2.42
Si3 0.3333 0.6667 0.8042  1 Si 2.27, 3 Pt 2.42
Si4 0.6667 0.3333 0.1958  1 Si 2.27, 3 Pt 2.42
Si5 0.6667 0.3333 0.8042  1 Si 2.27, 3 Pt 2.42
Pt1 0.0000 0.5000 0.5000  4 Si 2.42
Pt2 0.5000 0.0000 0.5000  4 Si 2.42
Pt3 0.5000 0.5000 0.5000  4 Si 2.42

Output
The energy is -5.2873 eV per atom. The value obtained for the volume is 18.38 Å³ per atom.